Record 1
Entry from Alexandria via LeMat-Bulk: crystalline DyThSe2N at its relaxed geometry (GGA-PBE).

- ΔE_f (raw): -1.85 eV/atom

Geometry as CIF:
```
data_DyThSe2N
_cell_length_a 4.066
_cell_length_b 4.066
_cell_length_c 14.641
_cell_angle_alpha 90.00
_cell_angle_beta 90.00
_cell_angle_gamma 90.00
_symmetry_space_group_name_H-M 'P 4/n m m'
_symmetry_Int_Tables_number 129
loop_
_symmetry_equiv_pos_as_xyz
'x,y,z'
'-x,-y,-z'
'-y+1/2,x,z'
'y+1/2,-x,-z'
'-x+1/2,-y+1/2,z'
'x+1/2,y+1/2,-z'
'y,-x+1/2,z'
'-y,x+1/2,-z'
'x+1/2,-y,-z'
'-x+1/2,y,z'
'-y,-x,-z'
'y,x,z'
'-x,y+1/2,-z'
'x,-y+1/2,z'
'y+1/2,x+1/2,-z'
'-y+1/2,-x+1/2,z'
loop_
_atom_site_label
_atom_site_fract_x
_atom_site_fract_y
_atom_site_fract_z
Dy1 0.250 0.250 0.121
Th1 0.250 0.250 0.580
Se1 0.250 0.250 0.302
Se2 0.250 0.250 0.910
N1 0.250 0.750 0.500
```

---

Record 2
Entry from Alexandria via LeMat-Bulk: crystalline Dy8Tl3Se3N at its relaxed geometry (GGA-PBE).

- ΔE_f (raw): -0.98 eV/atom

Geometry as CIF:
```
data_Dy8Tl3Se3N
_cell_length_a 7.8576
_cell_length_b 7.8576
_cell_length_c 23.1155
_cell_angle_alpha 90.00
_cell_angle_beta 90.00
_cell_angle_gamma 120.00
_symmetry_space_group_name_H-M 'R -3 m'
_symmetry_Int_Tables_number 166
_symmetry_space_group_name_Hall '-R 3 2"'
loop_
_atom_site_label
_atom_site_fract_x
_atom_site_fract_y
_atom_site_fract_z
Dy1 0.0000 0.0000 0.2394
Dy2 0.0439 0.5220 0.2304
Tl1 0.0000 0.5000 0.0000
Se1 0.0000 0.5000 0.5000
N1 0.0000 0.0000 0.5000
```

---

Record 3
Entry from Alexandria via LeMat-Bulk: crystalline DyTmSeN at its relaxed geometry (GGA-PBE).

- ΔE_f (raw): -1.71 eV/atom

Geometry as CIF:
```
data_DyTmSeN
_cell_length_a 3.6363
_cell_length_b 3.6363
_cell_length_c 19.3828
_cell_angle_alpha 90.00
_cell_angle_beta 90.00
_cell_angle_gamma 120.00
_symmetry_space_group_name_H-M 'R 3 m'
_symmetry_Int_Tables_number 160
_symmetry_space_group_name_Hall 'R 3 -2"'
loop_
_atom_site_label
_atom_site_fract_x
_atom_site_fract_y
_atom_site_fract_z
Dy1 0.0000 0.0000 0.0000
Tm1 0.0000 0.0000 0.5347
Se1 0.0000 0.0000 0.7686
N1 0.0000 0.0000 0.2645
```

---

Record 4
Entry from Alexandria via LeMat-Bulk: crystalline DyUSe2N at its relaxed geometry (GGA-PBE).

- ΔE_f (raw): -1.62 eV/atom

Geometry as CIF:
```
data_DyUSe2N
_cell_length_a 3.917
_cell_length_b 3.917
_cell_length_c 14.511
_cell_angle_alpha 90.00
_cell_angle_beta 90.00
_cell_angle_gamma 90.00
_symmetry_space_group_name_H-M 'P 4/n m m'
_symmetry_Int_Tables_number 129
loop_
_symmetry_equiv_pos_as_xyz
'x,y,z'
'-x,-y,-z'
'-y+1/2,x,z'
'y+1/2,-x,-z'
'-x+1/2,-y+1/2,z'
'x+1/2,y+1/2,-z'
'y,-x+1/2,z'
'-y,x+1/2,-z'
'x+1/2,-y,-z'
'-x+1/2,y,z'
'-y,-x,-z'
'y,x,z'
'-x,y+1/2,-z'
'x,-y+1/2,z'
'y+1/2,x+1/2,-z'
'-y+1/2,-x+1/2,z'
loop_
_atom_site_label
_atom_site_fract_x
_atom_site_fract_y
_atom_site_fract_z
Dy1 0.250 0.250 0.123
U1 0.250 0.250 0.579
Se1 0.250 0.250 0.312
Se2 0.250 0.250 0.911
N1 0.250 0.750 0.500
```

---

Record 5
Entry from Alexandria via LeMat-Bulk: crystalline DyYSeN at its relaxed geometry (GGA-PBE).

- ΔE_f (raw): -1.71 eV/atom

Geometry as CIF:
```
data_DyYSeN
_cell_length_a 3.6745
_cell_length_b 3.6745
_cell_length_c 19.5490
_cell_angle_alpha 90.00
_cell_angle_beta 90.00
_cell_angle_gamma 120.00
_symmetry_space_group_name_H-M 'R 3 m'
_symmetry_Int_Tables_number 160
_symmetry_space_group_name_Hall 'R 3 -2"'
loop_
_atom_site_label
_atom_site_fract_x
_atom_site_fract_y
_atom_site_fract_z
Dy1 0.0000 0.0000 0.0000
Y1 0.0000 0.0000 0.5342
Se1 0.0000 0.0000 0.7671
N1 0.0000 0.0000 0.2679
```

---

Record 6
Entry from Alexandria via LeMat-Bulk: crystalline Dy12Si3N5 at its relaxed geometry (GGA-PBE).

- ΔE_f (raw): -0.97 eV/atom

Geometry as CIF:
```
data_Dy12Si3N5
_cell_length_a 15.189
_cell_length_b 15.189
_cell_length_c 15.189
_cell_angle_alpha 90.00
_cell_angle_beta 90.00
_cell_angle_gamma 90.00
_symmetry_space_group_name_H-M 'I a -3 d'
_symmetry_Int_Tables_number 230
_symmetry_space_group_name_Hall '-I 4bd 2c 3'
loop_
_atom_site_label
_atom_site_fract_x
_atom_site_fract_y
_atom_site_fract_z
Dy1 0.033 0.054 0.650
Si1 0.000 0.250 0.125
N1 0.000 0.000 0.000
N2 0.000 0.250 0.375
```

---

Record 7
Entry from Alexandria via LeMat-Bulk: crystalline Dy3SiN at its relaxed geometry (GGA-PBE).

- ΔE_f (raw): -0.92 eV/atom

Geometry as CIF:
```
data_Dy3SiN
_cell_length_a 4.697
_cell_length_b 4.697
_cell_length_c 4.697
_cell_angle_alpha 90.00
_cell_angle_beta 90.00
_cell_angle_gamma 90.00
_symmetry_space_group_name_H-M 'P m -3 m'
_symmetry_Int_Tables_number 221
_symmetry_space_group_name_Hall '-P 4 2 3'
loop_
_atom_site_label
_atom_site_fract_x
_atom_site_fract_y
_atom_site_fract_z
Dy1 0.000 0.000 0.500
Si1 0.500 0.500 0.500
N1 0.000 0.000 0.000
```

---

Record 8
Entry from Alexandria via LeMat-Bulk: crystalline SrDy2SiN4 at its relaxed geometry (GGA-PBE).

- ΔE_f (raw): -1.34 eV/atom

Geometry as CIF:
```
data_SrDy2SiN4
_cell_length_a 3.362
_cell_length_b 11.910
_cell_length_c 11.640
_cell_angle_alpha 90.00
_cell_angle_beta 90.00
_cell_angle_gamma 90.00
_symmetry_space_group_name_H-M 'C m c m'
_symmetry_Int_Tables_number 63
_symmetry_space_group_name_Hall '-C 2c 2'
loop_
_atom_site_label
_atom_site_fract_x
_atom_site_fract_y
_atom_site_fract_z
Sr1 0.000 0.092 0.250
Dy1 0.000 0.369 0.040
Si1 0.000 0.183 0.750
N1 0.000 0.000 0.000
N2 0.000 0.260 0.625
N3 0.000 0.400 0.250
```

---

Record 9
Entry from Alexandria via LeMat-Bulk: crystalline SrDySiN3 at its relaxed geometry (GGA-PBE).

- ΔE_f (raw): -0.94 eV/atom

Geometry as CIF:
```
data_SrDySiN3
_cell_length_a 12.619
_cell_length_b 3.786
_cell_length_c 7.245
_cell_angle_alpha 90.00
_cell_angle_beta 106.16
_cell_angle_gamma 90.00
_symmetry_space_group_name_H-M 'C 1 2/m 1'
_symmetry_Int_Tables_number 12
loop_
_symmetry_equiv_pos_as_xyz
'x,y,z'
'-x,-y,-z'
'-x,y,-z'
'x,-y,z'
'x+1/2,y+1/2,z'
'-x+1/2,-y+1/2,-z'
'-x+1/2,y+1/2,-z'
'x+1/2,-y+1/2,z'
loop_
_atom_site_label
_atom_site_fract_x
_atom_site_fract_y
_atom_site_fract_z
Sr1 0.148 0.000 0.072
Dy1 0.151 0.000 0.576
Si1 0.004 0.500 0.273
N1 0.004 0.000 0.285
N2 0.145 0.500 0.800
N3 0.153 0.500 0.344
```

---

Record 10
Entry from Alexandria via LeMat-Bulk: crystalline SmDyN2 at its relaxed geometry (GGA-PBE).

- ΔE_f (raw): -1.34 eV/atom

Geometry as CIF:
```
data_SmDyN2
_cell_length_a 3.4700
_cell_length_b 3.4700
_cell_length_c 18.0589
_cell_angle_alpha 90.00
_cell_angle_beta 90.00
_cell_angle_gamma 120.00
_symmetry_space_group_name_H-M 'R 3 m'
_symmetry_Int_Tables_number 160
_symmetry_space_group_name_Hall 'R 3 -2"'
loop_
_atom_site_label
_atom_site_fract_x
_atom_site_fract_y
_atom_site_fract_z
Sm1 0.0000 0.0000 0.0000
Dy1 0.0000 0.0000 0.1704
N1 0.0000 0.0000 0.4247
N2 0.0000 0.0000 0.5894
```

---

Record 11
Entry from Alexandria via LeMat-Bulk: crystalline Sm3Dy2N4 at its relaxed geometry (GGA-PBE).

- ΔE_f (raw): -1.39 eV/atom

Geometry as CIF:
```
data_Sm3Dy2N4
_cell_length_a 6.132
_cell_length_b 3.541
_cell_length_c 14.781
_cell_angle_alpha 90.00
_cell_angle_beta 90.07
_cell_angle_gamma 90.00
_symmetry_space_group_name_H-M 'C 1 2/m 1'
_symmetry_Int_Tables_number 12
loop_
_symmetry_equiv_pos_as_xyz
'x,y,z'
'-x,-y,-z'
'-x,y,-z'
'x,-y,z'
'x+1/2,y+1/2,z'
'-x+1/2,-y+1/2,-z'
'-x+1/2,y+1/2,-z'
'x+1/2,-y+1/2,z'
loop_
_atom_site_label
_atom_site_fract_x
_atom_site_fract_y
_atom_site_fract_z
Sm1 0.000 0.000 0.000
Sm2 0.166 0.500 0.619
Dy1 0.167 0.500 0.190
N1 0.001 0.000 0.296
N2 0.166 0.500 0.897
```

---

Record 12
Entry from Alexandria via LeMat-Bulk: crystalline SmDy2N3 at its relaxed geometry (GGA-PBE).

- ΔE_f (raw): -1.62 eV/atom

Geometry as CIF:
```
data_SmDy2N3
_cell_length_a 7.030
_cell_length_b 4.967
_cell_length_c 10.541
_cell_angle_alpha 90.00
_cell_angle_beta 90.00
_cell_angle_gamma 90.00
_symmetry_space_group_name_H-M 'P n m a'
_symmetry_Int_Tables_number 62
loop_
_symmetry_equiv_pos_as_xyz
'x,y,z'
'-x,-y,-z'
'-x+1/2,-y,z+1/2'
'x+1/2,y,-z+1/2'
'x+1/2,-y+1/2,-z+1/2'
'-x+1/2,y+1/2,z+1/2'
'-x,y+1/2,-z'
'x,-y+1/2,z'
loop_
_atom_site_label
_atom_site_fract_x
_atom_site_fract_y
_atom_site_fract_z
Sm1 0.127 0.250 0.084
Dy1 0.125 0.250 0.417
Dy2 0.126 0.250 0.749
N1 0.122 0.750 0.414
N2 0.128 0.750 0.752
N3 0.134 0.750 0.085
```

---

Record 13
Entry from Alexandria via LeMat-Bulk: crystalline SmDyN at its relaxed geometry (GGA-PBE).

- ΔE_f (raw): -1.00 eV/atom
- Polymorph energy (0 for the lowest one): 0.0 meV per atom

Geometry as CIF:
```
data_SmDyN
_cell_length_a 6.139
_cell_length_b 3.546
_cell_length_c 6.405
_cell_angle_alpha 90.00
_cell_angle_beta 108.47
_cell_angle_gamma 90.00
_symmetry_space_group_name_H-M 'C 1 m 1'
_symmetry_Int_Tables_number 8
loop_
_symmetry_equiv_pos_as_xyz
'x,y,z'
'x,-y,z'
'x+1/2,y+1/2,z'
'x+1/2,-y+1/2,z'
loop_
_atom_site_label
_atom_site_fract_x
_atom_site_fract_y
_atom_site_fract_z
Sm1 0.000 0.000 0.000
Dy1 0.480 0.000 0.445
N1 0.247 0.500 0.245
```

---

Record 14
Entry from Alexandria via LeMat-Bulk: crystalline SmDyN at its relaxed geometry (GGA-PBE).

- ΔE_f (raw): -0.98 eV/atom
- Polymorph energy (0 for the lowest one): 28.3 meV per atom

Geometry as CIF:
```
data_SmDyN
_cell_length_a 3.5345
_cell_length_b 3.5345
_cell_length_c 6.1535
_cell_angle_alpha 90.00
_cell_angle_beta 90.00
_cell_angle_gamma 120.00
_symmetry_space_group_name_H-M 'P 3 m 1'
_symmetry_Int_Tables_number 156
loop_
_symmetry_equiv_pos_as_xyz
'x,y,z'
'-y,x-y,z'
'-x+y,-x,z'
'-y,-x,z'
'-x+y,y,z'
'x,x-y,z'
loop_
_atom_site_label
_atom_site_fract_x
_atom_site_fract_y
_atom_site_fract_z
Sm1 0.0000 0.0000 0.0000
Dy1 0.3333 0.6667 0.4402
N1 0.6667 0.3333 0.2384
```

---

Record 15
Entry from Alexandria via LeMat-Bulk: crystalline SmDy5N6 at its relaxed geometry (GGA-PBE).

- ΔE_f (raw): -1.66 eV/atom

Geometry as CIF:
```
data_SmDy5N6
_cell_length_a 6.050
_cell_length_b 10.480
_cell_length_c 6.049
_cell_angle_alpha 90.00
_cell_angle_beta 109.46
_cell_angle_gamma 90.00
_symmetry_space_group_name_H-M 'C 1 2/m 1'
_symmetry_Int_Tables_number 12
loop_
_symmetry_equiv_pos_as_xyz
'x,y,z'
'-x,-y,-z'
'-x,y,-z'
'x,-y,z'
'x+1/2,y+1/2,z'
'-x+1/2,-y+1/2,-z'
'-x+1/2,y+1/2,-z'
'x+1/2,-y+1/2,z'
loop_
_atom_site_label
_atom_site_fract_x
_atom_site_fract_y
_atom_site_fract_z
Sm1 0.000 0.000 0.000
Dy1 0.000 0.167 0.500
Dy2 0.000 0.333 0.000
Dy3 0.000 0.500 0.500
N1 0.246 0.500 0.252
N2 0.247 0.331 0.748
```

---

Record 16
Entry from Alexandria via LeMat-Bulk: crystalline SmDy4N4 at its relaxed geometry (GGA-PBE).

- ΔE_f (raw): -1.46 eV/atom

Geometry as CIF:
```
data_SmDy4N4
_cell_length_a 7.890
_cell_length_b 7.890
_cell_length_c 4.919
_cell_angle_alpha 90.00
_cell_angle_beta 90.00
_cell_angle_gamma 90.00
_symmetry_space_group_name_H-M 'I 4/m'
_symmetry_Int_Tables_number 87
_symmetry_space_group_name_Hall '-I 4'
loop_
_atom_site_label
_atom_site_fract_x
_atom_site_fract_y
_atom_site_fract_z
Sm1 0.000 0.000 0.000
Dy1 0.110 0.686 0.500
N1 0.100 0.697 0.000
```

---

Record 17
Entry from Alexandria via LeMat-Bulk: crystalline SmDyN2 at its relaxed geometry (GGA-PBE).

- ΔE_f (raw): -1.24 eV/atom

Geometry as CIF:
```
data_SmDyN2
_cell_length_a 3.4691
_cell_length_b 3.4691
_cell_length_c 6.1041
_cell_angle_alpha 90.00
_cell_angle_beta 90.00
_cell_angle_gamma 120.00
_symmetry_space_group_name_H-M 'P -3 m 1'
_symmetry_Int_Tables_number 164
_symmetry_space_group_name_Hall '-P 3 2"'
loop_
_atom_site_label
_atom_site_fract_x
_atom_site_fract_y
_atom_site_fract_z
Sm1 0.0000 0.0000 0.0000
Dy1 0.0000 0.0000 0.5000
N1 0.3333 0.6667 0.7433
```

---

Record 18
Entry from Alexandria via LeMat-Bulk: crystalline SmDyN at its relaxed geometry (GGA-PBE).

- ΔE_f (raw): -0.32 eV/atom
- Polymorph energy (0 for the lowest one): 681.4 meV per atom

Geometry as CIF:
```
data_SmDyN
_cell_length_a 6.079
_cell_length_b 6.079
_cell_length_c 6.079
_cell_angle_alpha 90.00
_cell_angle_beta 90.00
_cell_angle_gamma 90.00
_symmetry_space_group_name_H-M 'F -4 3 m'
_symmetry_Int_Tables_number 216
_symmetry_space_group_name_Hall 'F -4 2 3'
loop_
_atom_site_label
_atom_site_fract_x
_atom_site_fract_y
_atom_site_fract_z
Sm1 0.000 0.000 0.000
Dy1 0.000 0.000 0.500
N1 0.250 0.250 0.750
```

---

Record 19
Entry from Alexandria via LeMat-Bulk: crystalline Sm4DyN4 at its relaxed geometry (GGA-PBE).

- ΔE_f (raw): -1.34 eV/atom

Geometry as CIF:
```
data_Sm4DyN4
_cell_length_a 8.001
_cell_length_b 8.001
_cell_length_c 5.078
_cell_angle_alpha 90.00
_cell_angle_beta 90.00
_cell_angle_gamma 90.00
_symmetry_space_group_name_H-M 'I 4/m'
_symmetry_Int_Tables_number 87
_symmetry_space_group_name_Hall '-I 4'
loop_
_atom_site_label
_atom_site_fract_x
_atom_site_fract_y
_atom_site_fract_z
Sm1 0.110 0.312 0.000
Dy1 0.000 0.000 0.500
N1 0.095 0.292 0.500
```

---

Record 20
Entry from Alexandria via LeMat-Bulk: crystalline Sm2DyN3 at its relaxed geometry (GGA-PBE).

- ΔE_f (raw): -1.55 eV/atom

Geometry as CIF:
```
data_Sm2DyN3
_cell_length_a 3.550
_cell_length_b 5.021
_cell_length_c 10.655
_cell_angle_alpha 90.00
_cell_angle_beta 90.00
_cell_angle_gamma 90.00
_symmetry_space_group_name_H-M 'I m m m'
_symmetry_Int_Tables_number 71
_symmetry_space_group_name_Hall '-I 2 2'
loop_
_atom_site_label
_atom_site_fract_x
_atom_site_fract_y
_atom_site_fract_z
Sm1 0.000 0.000 0.166
Dy1 0.000 0.000 0.500
N1 0.000 0.500 0.162
N2 0.000 0.500 0.500
```